No. 1
VASP calculation (PBE) on ScZn6Pd after structural relaxation.

a b c (Å): 4.3935 5.7125 5.7125
angles (deg): 119.73 90.00 90.00
With the nearest neighbours (Å) after each atom.
Positions (direct):
Zn1 0.5000 0.4094 0.0718  8 Zn 2.72-2.98, 2 Pd 2.78, 2 Sc 2.85-2.86
Zn2 0.0000 0.0868 0.9132  8 Zn 2.72-2.92, 2 Sc 2.78, 2 Pd 2.87
Zn3 0.0000 0.0895 0.4264  8 Zn 2.72-2.96, 2 Sc 2.77, 2 Pd 2.85-2.86
Zn4 0.5000 0.9282 0.5906  8 Zn 2.72-2.98, 2 Pd 2.78, 2 Sc 2.85-2.86
Sc1 0.5000 0.9152 0.0848  12 Zn 2.77-2.87
Zn5 0.5000 0.4122 0.5878  8 Zn 2.72-2.94, 2 Pd 2.78, 2 Sc 2.87
Pd1 0.0000 0.5850 0.4150  12 Zn 2.78-2.87
Zn6 0.0000 0.5736 0.9105  8 Zn 2.72-2.96, 2 Sc 2.77, 2 Pd 2.85-2.86

space group	Amm2 (38)
M_tot	0.00	μB per cell

No. 2
VASP calculation (PBE) on Sc6Zn5Pd after structural relaxation.

a b c (Å): 4.7229 6.6895 7.4662
angles (deg): 90.00 71.56 90.00
With the nearest neighbours (Å) after each atom.
Positions (direct):
Sc1 0.5000 0.7521 0.0000  2 Pd 2.89, 6 Zn 2.90-2.93
Pd1 0.0000 0.0000 0.0000  8 Sc 2.88-2.89
Sc2 0.1655 0.7505 0.6691  7 Zn 2.87-2.90, 1 Pd 2.88
Sc3 0.5000 0.2479 0.0000  2 Pd 2.89, 6 Zn 2.90-2.93
Sc4 0.8345 0.2495 0.3309  7 Zn 2.87-2.90, 1 Pd 2.88
Zn1 0.6701 0.0000 0.6597  8 Sc 2.87-2.93
Zn2 0.0000 0.5000 0.0000  8 Sc 2.88-2.90
Sc5 0.8346 0.7505 0.3309  7 Zn 2.87-2.90, 1 Pd 2.88
Zn3 0.6672 0.5000 0.6657  8 Sc 2.90-2.91
Zn4 0.3328 0.5000 0.3343  8 Sc 2.90-2.91
Zn5 0.3299 0.0000 0.3403  8 Sc 2.87-2.93
Sc6 0.1654 0.2495 0.6691  7 Zn 2.87-2.90, 1 Pd 2.88

space group	Cmmm (65)
M_tot	0.00	μB per cell

No. 3
VASP calculation (PBE) on Sc3ZnPd4 after structural relaxation.

a b c (Å): 4.5911 4.5911 7.9876
angles (deg): 73.30 73.30 60.00
With the nearest neighbours (Å) after each atom.
Positions (direct):
Pd1 0.3767 0.3767 0.8700  5 Sc 2.75-2.79, 3 Zn 2.83
Sc1 0.2550 0.2550 0.2349  8 Pd 2.75-2.92
Sc2 0.5000 0.5000 0.5000  8 Pd 2.79-2.81
Zn1 0.0000 0.0000 0.0000  8 Pd 2.83-2.84
Sc3 0.7450 0.7450 0.7651  8 Pd 2.75-2.92
Pd2 0.1258 0.1258 0.6226  7 Sc 2.81-2.92, 1 Zn 2.84
Pd3 0.8742 0.8742 0.3774  7 Sc 2.81-2.92, 1 Zn 2.84
Pd4 0.6233 0.6233 0.1300  5 Sc 2.75-2.79, 3 Zn 2.83

space group	R-3m (166)
M_tot	0.00	μB per cell

No. 4
VASP calculation (PBE) on Sc2Zn2Pd3 after structural relaxation.

a b c (Å): 4.5813 4.6296 7.6432
angles (deg): 90.12 117.50 119.91
With the nearest neighbours (Å) after each atom.
Positions (direct):
Pd1 0.3775 0.1878 0.7300  4 Zn 2.62-2.81, 4 Sc 2.73-2.83
Sc1 0.8431 0.4213 0.1675  7 Pd 2.73-2.88, 3 Zn 3.04-3.05
Zn1 0.4123 0.2068 0.3973  5 Pd 2.57-2.81, 2 Zn 2.67-2.68
Sc2 0.1569 0.5787 0.8325  7 Pd 2.73-2.88, 3 Zn 3.04-3.05
Pd2 0.6225 0.8122 0.2700  4 Zn 2.62-2.81, 4 Sc 2.73-2.83
Zn2 0.5877 0.7932 0.6027  5 Pd 2.57-2.81, 2 Zn 2.67-2.68
Pd3 0.0000 0.0000 0.0000  2 Zn 2.57, 4 Sc 2.86-2.88

space group	P-1 (2)
M_tot	0.00	μB per cell

No. 5
VASP calculation (PBE) on Sc3Zn9Pd2 after structural relaxation.

a b c (Å): 4.2891 7.7623 7.7623
angles (deg): 74.06 73.96 73.96
With the nearest neighbours (Å) after each atom.
Positions (direct):
Zn1 0.1376 0.5875 0.1372  4 Zn 2.54-2.64, 2 Pd 2.74
Zn2 0.6481 0.9827 0.7210  4 Zn 2.45-2.64, 1 Pd 2.60
Zn3 0.8624 0.4125 0.8628  4 Zn 2.54-2.64, 2 Pd 2.74
Zn4 0.1376 0.1372 0.5875  4 Zn 2.54-2.64, 2 Pd 2.74
Zn5 0.0000 0.5000 0.5000  4 Pd 2.62, 4 Zn 2.64
Zn6 0.3519 0.0173 0.2790  4 Zn 2.45-2.64, 1 Pd 2.60
Sc1 0.2933 0.7067 0.7067  2 Pd 2.84, 10 Zn 2.99-3.14
Pd1 0.5000 0.6610 0.3390  8 Zn 2.60-2.74, 2 Sc 2.84
Zn7 0.3519 0.2790 0.0173  4 Zn 2.45-2.64, 1 Pd 2.60
Pd2 0.5000 0.3390 0.6610  8 Zn 2.60-2.74, 2 Sc 2.84
Zn8 0.8624 0.8628 0.4125  4 Zn 2.54-2.64, 2 Pd 2.74
Sc2 0.7067 0.2933 0.2933  2 Pd 2.84, 10 Zn 2.99-3.14
Zn9 0.6481 0.7210 0.9827  4 Zn 2.45-2.64, 1 Pd 2.60
Sc3 0.0000 0.0000 0.0000  12 Zn 3.01-3.03

space group	Immm (71)
M_tot	0.00	μB per cell

No. 6
VASP calculation (PBE) on Sc2Zn3Pd2 after structural relaxation.

a b c (Å): 4.2358 5.0438 6.6088
angles (deg): 108.12 90.00 114.83
With the nearest neighbours (Å) after each atom.
Positions (direct):
Zn1 0.5000 0.0000 0.0000  4 Pd 2.61, 2 Zn 2.71
Pd1 0.8516 0.7033 0.8020  5 Zn 2.61-2.71, 4 Sc 2.75-2.83
Pd2 0.1484 0.2967 0.1980  5 Zn 2.61-2.71, 4 Sc 2.75-2.83
Zn2 0.6189 0.2378 0.4369  2 Zn 2.58-2.71, 3 Pd 2.61-2.71
Sc1 0.1428 0.2857 0.7674  4 Pd 2.75-2.83, 3 Zn 2.93-3.00
Sc2 0.8572 0.7143 0.2326  4 Pd 2.75-2.83, 3 Zn 2.93-3.00
Zn3 0.3811 0.7622 0.5631  2 Zn 2.58-2.71, 3 Pd 2.61-2.71

space group	C2/m (12)
M_tot	0.00	μB per cell

No. 7
VASP calculation (PBE) on Sc5ZnPd4 after structural relaxation.

a b c (Å): 3.2987 3.2987 16.7446
angles (deg): 90.00 90.00 90.00
With the nearest neighbours (Å) after each atom.
Positions (direct):
Zn1 0.0000 0.0000 0.0000  8 Sc 2.88
Pd1 0.0000 0.0000 0.1992  8 Sc 2.86-2.88
Sc1 0.5000 0.5000 0.5000  8 Pd 2.88
Pd2 0.0000 0.0000 0.8008  8 Sc 2.86-2.88
Sc2 0.5000 0.5000 0.2998  8 Pd 2.87-2.88
Sc3 0.5000 0.5000 0.8996  4 Pd 2.86, 4 Zn 2.88
Sc4 0.5000 0.5000 0.7002  8 Pd 2.87-2.88
Sc5 0.5000 0.5000 0.1004  4 Pd 2.86, 4 Zn 2.88
Pd3 0.0000 0.0000 0.6006  8 Sc 2.87-2.88
Pd4 0.0000 0.0000 0.3994  8 Sc 2.87-2.88

space group	P4/mmm (123)
M_tot	0.00	μB per cell

No. 8
VASP calculation (PBE) on Sc4ZnPd5 after structural relaxation.

a b c (Å): 3.2865 3.2865 16.1045
angles (deg): 90.00 90.00 90.00
With the nearest neighbours (Å) after each atom.
Positions (direct):
Pd1 0.5000 0.5000 0.7108  8 Sc 2.86-2.88
Sc1 0.0000 0.0000 0.1855  8 Pd 2.80-2.86, 1 Zn 2.99
Sc2 0.0000 0.0000 0.8145  8 Pd 2.80-2.86, 1 Zn 2.99
Sc3 0.0000 0.0000 0.3949  8 Pd 2.88
Sc4 0.0000 0.0000 0.6051  8 Pd 2.88
Pd2 0.5000 0.5000 0.0886  4 Zn 2.73, 4 Sc 2.80, 1 Pd 2.85
Pd3 0.5000 0.5000 0.2892  8 Sc 2.86-2.88
Pd4 0.5000 0.5000 0.5000  8 Sc 2.88
Zn1 0.0000 0.0000 0.0000  8 Pd 2.73, 2 Sc 2.99
Pd5 0.5000 0.5000 0.9114  4 Zn 2.73, 4 Sc 2.80, 1 Pd 2.85

space group	P4/mmm (123)
M_tot	0.00	μB per cell

| no. | formation enthalpy at 0 K (eV/f.u.) | DFT total energy (eV/f.u.) |
| --- | --- | --- |
| 1 | -2.0 | -21.128 |
| 2 | -5.6 | -55.124 |
| 3 | -6.6 | -47.663 |
| 4 | -5.0 | -35.807 |
| 5 | -5.6 | -46.411 |
| 6 | -4.3 | -31.156 |
| 7 | -7.9 | -61.624 |
| 8 | -8.4 | -60.980 |